DFT (PBE-GGA) results for a geometry-optimized ErGaSiTc2 structure.

Properties
total DFT energy (no corrections)	-7.05	eV per atom
density of states at the Fermi level	6.58	states/eV/cell
E_form (uncorrected)	-0.306	eV per atom

Structure (POSCAR):
```
ErGaSiTc2
1.0
-1.241 -1.073 -3.875
5.816 -2.128 1.010
-2.780 -6.343 2.646
Er Ga Si Tc
2 2 2 4
direct
0.439 0.877 0.750
0.561 0.123 0.250
0.000 0.000 0.000
0.000 0.000 0.500
0.744 0.489 0.750
0.256 0.511 0.250
0.198 0.395 0.930
0.802 0.605 0.070
0.198 0.395 0.570
0.802 0.605 0.430
```

***

DFT (PBE-GGA) results for a geometry-optimized Er8GaSi3Te4 structure.

Properties
total DFT energy (no corrections)	-5.29	eV per atom
density of states at the Fermi level	5.77	states/eV/cell
E_form (uncorrected)	-1.013	eV per atom

Structure (POSCAR):
```
Er8GaSi3Te4
1.0
-0.518 5.035 6.633
5.815 -4.794 4.092
1.883 3.153 -7.494
Er Ga Si Te
8 1 3 4
direct
0.243 0.723 0.980
0.243 0.722 0.486
0.262 0.285 0.523
0.737 0.723 0.980
0.263 0.277 0.020
0.738 0.715 0.477
0.757 0.278 0.514
0.757 0.277 0.020
0.000 0.500 0.000
0.500 0.500 0.000
0.500 0.500 0.500
0.000 0.500 0.500
0.500 0.000 0.000
0.500 0.000 0.500
0.000 0.000 0.000
0.000 0.000 0.500
```

***

DFT (PBE-GGA) results for a geometry-optimized Er4GaSiTe2 structure.

Properties
total DFT energy (no corrections)	-5.09	eV per atom
density of states at the Fermi level	3.93	states/eV/cell
E_form (uncorrected)	-0.964	eV per atom

Structure (POSCAR):
```
Er4GaSiTe2
1.0
4.162 0.000 0.000
0.000 7.118 0.100
0.000 -2.517 7.180
Er Ga Si Te
4 1 1 2
direct
0.500 0.236 0.222
0.500 0.764 0.778
0.000 0.254 0.772
0.000 0.746 0.228
0.500 0.500 0.000
0.000 0.000 0.000
0.500 0.000 0.500
0.000 0.500 0.500
```

***

DFT (PBE-GGA) results for a geometry-optimized Er2Tm2Ga4Si structure.

Properties
total DFT energy (no corrections)	-4.23	eV per atom
density of states at the Fermi level	5.04	states/eV/cell
E_form (uncorrected)	-0.274	eV per atom

Structure (POSCAR):
```
Er2Tm2Ga4Si
1.0
-3.295 5.630 -0.086
-1.326 -4.227 -4.790
-1.329 -4.081 4.914
Er Tm Ga Si
2 2 4 1
direct
0.000 0.696 0.696
0.000 0.304 0.304
0.500 0.750 0.250
0.500 0.250 0.750
0.000 0.749 0.251
0.498 0.749 0.749
0.000 0.251 0.749
0.502 0.251 0.251
0.000 0.000 0.000
```

***

DFT (PBE-GGA) results for a geometry-optimized YErGaSi structure.

Properties
total DFT energy (no corrections)	-5.63	eV per atom
density of states at the Fermi level	3.29	states/eV/cell
E_form (uncorrected)	-0.762	eV per atom

Structure (POSCAR):
```
YErGaSi
1.0
4.288 0.000 0.000
0.000 3.946 0.000
-2.144 0.000 5.333
Y Er Ga Si
1 1 1 1
direct
0.859 0.500 0.718
0.140 0.000 0.280
0.424 0.000 0.849
0.577 0.500 0.154
```

***

DFT (PBE-GGA) results for a geometry-optimized Sm2Er3Ga4 structure.

Properties
total DFT energy (no corrections)	-4.50	eV per atom
density of states at the Fermi level	16.00	states/eV/cell
energy above the most stable polymorph in this dataset	0	meV/atom
DFT formation energy	-508.2	kJ/mol of formula units

Structure (POSCAR):
```
Sm2Er3Ga4
1.0
7.512 0.090 0.000
-2.383 7.552 0.000
0.000 0.000 7.943
Sm Er Ga
4 6 8
direct
0.574 0.191 0.318
0.926 0.809 0.818
0.426 0.809 0.682
0.074 0.191 0.182
0.000 0.500 0.500
0.500 0.500 0.000
0.751 0.241 0.825
0.749 0.759 0.325
0.249 0.759 0.175
0.251 0.241 0.675
0.866 0.081 0.530
0.634 0.919 0.030
0.134 0.919 0.470
0.366 0.081 0.970
0.878 0.493 0.121
0.622 0.507 0.621
0.122 0.507 0.879
0.378 0.493 0.379
```

***

DFT (PBE-GGA) results for a geometry-optimized SmErGa4 structure.

Properties
total DFT energy (no corrections)	-4.11	eV per atom
density of states at the Fermi level	3.98	states/eV/cell
energy above the most stable polymorph in this dataset	101	meV/atom
DFT formation energy	-316.4	kJ/mol of formula units

Structure (POSCAR):
```
SmErGa4
1.0
-2.748 3.576 -3.209
-1.171 -1.323 -5.245
-5.224 -1.064 -1.485
Ga Sm Er
4 1 1
direct
0.625 0.625 0.125
0.625 0.125 0.625
0.625 0.625 0.625
0.125 0.625 0.625
0.000 0.000 0.000
0.250 0.250 0.250
```

***

DFT (PBE-GGA) results for a geometry-optimized SmErGa4 structure.

Properties
total DFT energy (no corrections)	-4.21	eV per atom
density of states at the Fermi level	3.20	states/eV/cell
energy above the most stable polymorph in this dataset	1	meV/atom
DFT formation energy	-374.6	kJ/mol of formula units

Structure (POSCAR):
```
SmErGa4
1.0
4.226 0.000 0.000
-2.113 3.660 0.000
0.000 0.000 8.276
Sm Er Ga
1 1 4
direct
0.000 0.000 0.500
0.000 0.000 0.000
0.333 0.667 0.243
0.333 0.667 0.757
0.667 0.333 0.243
0.667 0.333 0.757
```